Record 1
Compound: LiFeNiH3
Source: Alexandria via LeMat-Bulk
Functional: PBE-GGA
Structure: optimized geometry

Output
ρ in Mg/m³: 4.17
E_tot in eV/atom: -4.435
Magnetization in μB/cell: 3.3
Calculated volume in A^3/atom: 8.26

Structure (extended XYZ):
```
12
Lattice="5.6724 0.0000 0.0000 0.0000 2.5877 0.0000 -0.6974 0.0000 6.7563" Properties=species:S:1:pos:R:3 pbc="T T T"
Li 0.8581 0.6469 1.3959
Li 4.1169 1.9408 5.3604
Fe 1.3707 1.9408 6.0454
Fe 3.6043 0.6469 0.7109
Ni 0.3724 0.6469 4.1886
Ni 4.6026 1.9408 2.5677
H 0.2058 0.6469 5.9121
H 0.5862 1.9408 3.1515
H 2.4250 1.9408 0.9762
H 2.5499 0.6469 5.7800
H 4.3888 0.6469 3.6048
H 4.7692 1.9408 0.8441
```


Record 2
Compound: Li2FeNiH
Source: Alexandria via LeMat-Bulk
Functional: PBE-GGA
Structure: optimized geometry

Output
ρ in Mg/m³: 3.42
E_tot in eV/atom: -3.652
Magnetization in μB/cell: 2.5
Calculated volume in A^3/atom: 12.58

Structure (extended XYZ):
```
5
Lattice="4.6613 0.0000 0.0000 0.0000 4.6613 0.0000 0.0000 0.0000 2.8950" Properties=species:S:1:pos:R:3 pbc="T T T"
Li 0.0000 2.3307 0.0000
Li 2.3307 0.0000 0.0000
Fe 0.0000 0.0000 0.0000
Ni 2.3307 2.3307 1.4475
H 0.0000 0.0000 1.4475
```